VASP calculation (PBE-GGA) on crystalline CoOsBr2 at its relaxed geometry.

Results
- E_form (uncorrected): 1.760 eV/f.u.
- Energy relative to the lowest polymorph listed for this composition: 0 meV/atom

a = 6.3566 Å, b = 3.7361 Å, c = 7.8049 Å
α = 90.00°, β = 94.62°, γ = 90.00°
Closest atoms and distances in Å follow each position.
Space group Cm (No. 8)
Symmetry-distinct sites (fractional):
Co 0.0000 0.0000 0.0000  3 Os 2.32-2.38, 2 Br 2.45
Os 0.1444 0.5000 0.8775  3 Co 2.32-2.38
Br 0.0331 0.5000 0.2026  2 Co 2.45, 1 Os 2.69
Br 0.2791 0.0000 0.6706  3 Os 2.66-2.72